The following is a DFT calculation (PBE) of a relaxed structure of LaNd6Dy4.

Results
total magnetization = 0.0 μB per formula unit
ΔH_f (0 K) = 0.153 eV/atom
symmetry = No. 187

Cell: 3.606 11.178 11.178 Å, 120.00 90.00 90.00°
Positions (direct):
Dy 0.500 0.327 0.164
Dy 0.500 0.836 0.673
Dy 0.500 0.836 0.164
Dy 0.000 0.333 0.667
Nd 0.500 0.183 0.817
Nd 0.000 0.956 0.478
Nd 0.000 0.522 0.478
Nd 0.500 0.634 0.817
Nd 0.500 0.183 0.366
Nd 0.000 0.522 0.044
La 0.000 0.000 0.000